1.
# CsNbIr3

A geometry-optimized CsNbIr3 structure (GGA-PBE, the Alexandria database).

Formation enthalpy at 0 K: 1315 meV/atom
Offset from the most stable computed form: 0.000 eV per atom

Lattice parameters (Å, degrees): 4.9646 4.9646 4.9646 90.00 90.00 90.00
Positions (direct):
Cs  0.0000  0.0000  0.0000
Nb  0.5000  0.5000  0.5000
Ir  0.0000  0.5000  0.5000
Ir  0.5000  0.0000  0.5000
Ir  0.5000  0.5000  0.0000

=====

2.
# AcPu2N

A geometry-optimized AcPu2N structure (GGA-PBE, the Alexandria database).

E_form (uncorrected): 0.03 eV/atom
Offset from the most stable computed form: 0.022 eV per atom

Lattice parameters (Å, degrees): 7.2267 7.2267 7.2267 32.05 32.05 32.05
Positions (direct):
Ac  0.0000  0.0000  0.0000
Pu  0.1868  0.1868  0.1868
Pu  0.8132  0.8132  0.8132
N  0.5000  0.5000  0.5000

=====

3.
# CsSn2Au6

A geometry-optimized CsSn2Au6 structure (GGA-PBE, the Alexandria database).

Formation enthalpy at 0 K: -75 meV/atom

Lattice parameters (Å, degrees): 7.9971 7.9971 7.9971 145.69 120.43 70.58
Positions (direct):
Cs  0.0000  0.0000  0.0000
Sn  0.3589  0.8589  0.5000
Sn  0.6411  0.1411  0.5000
Au  0.0937  0.2915  0.8022
Au  0.3254  0.5000  0.8254
Au  0.4893  0.2915  0.1978
Au  0.5107  0.7085  0.8022
Au  0.6746  0.5000  0.1746
Au  0.9063  0.7085  0.1978